{"formula": "Pu2USb2N2", "functional": "GGA-PBE", "state": "optimized geometry", "volume_a3_per_cell": 148.2, "e_form_raw_ev_per_atom": -0.839, "crystal_system": "tetragonal", "cell": [[4.324, 0.000, 0.000], [0.000, 4.324, 0.000], [-2.162, -2.162, 7.927]], "species": ["Sb", "Sb", "Pu", "Pu", "N", "N", "U"], "fractional_positions": [[0.194, 0.194, 0.388], [0.806, 0.806, 0.612], [0.605, 0.605, 0.210], [0.395, 0.395, 0.790], [0.000, 0.500, 0.000], [0.500, 0.000, 0.000], [0.000, 0.000, 0.000]]}